#w
{"formula": "BeAlIr2", "functional": "PBE", "state": "optimized geometry", "cell": [[-1.8686, -3.6401, 1.1464], [-1.3980, -0.5090, 3.9803], [-4.1741, -0.0884, 0.7908]], "species": ["Al", "Ir", "Ir", "Be"], "frac_coords": [[0.5000, 0.5000, 0.5000], [0.0000, 0.0000, 0.0000], [0.7500, 0.7500, 0.7500], [0.2500, 0.2500, 0.2500]], "crystal_system": "cubic", "total_magnetization_mub_per_cell": 0.216}


#x
{"formula": "BeAlIr2", "functional": "PBE", "state": "optimized geometry", "cell": [[2.1246, -3.6798, 0.0000], [2.1246, 3.6798, 0.0000], [0.0000, 0.0000, 7.4277]], "species": ["Ir", "Be", "Ir", "Ir", "Al", "Be", "Ir", "Al"], "frac_coords": [[0.6667, 0.3333, 0.0821], [0.6667, 0.3333, 0.7500], [0.3333, 0.6667, 0.9179], [0.3333, 0.6667, 0.5821], [0.0000, 0.0000, 0.5000], [0.3333, 0.6667, 0.2500], [0.6667, 0.3333, 0.4179], [0.0000, 0.0000, 0.0000]], "crystal_system": "hexagonal", "total_magnetization_mub_per_cell": 0.018}


#y
{"formula": "BeAlIr2", "functional": "PBE", "state": "optimized geometry", "cell": [[5.2959, 0.0000, 0.0000], [0.0000, 7.2701, 0.0000], [0.0000, 0.0000, 5.3455]], "species": ["Be", "Ir", "Al", "Be", "Ir", "Ir", "Ir", "Ir", "Be", "Al", "Ir", "Al", "Al", "Ir", "Ir", "Be"], "frac_coords": [[0.5499, 0.2500, 0.5693], [0.3153, 0.5138, 0.6859], [0.5437, 0.7500, 0.9821], [0.9501, 0.2500, 0.0693], [0.1847, 0.5138, 0.1859], [0.8153, 0.4862, 0.8141], [0.6847, 0.4862, 0.3141], [0.6847, 0.0138, 0.3141], [0.4501, 0.7500, 0.4307], [0.9563, 0.7500, 0.4821], [0.3153, 0.9862, 0.6859], [0.4563, 0.2500, 0.0179], [0.0437, 0.2500, 0.5179], [0.1847, 0.9862, 0.1859], [0.8153, 0.0138, 0.8141], [0.0499, 0.7500, 0.9307]], "crystal_system": "orthorhombic", "total_magnetization_mub_per_cell": 0.002}


Quick look at relative energies in eV/atom: #w 0.542; #x 0.431; #y 0.000.